# GGA-PBE Ni3SbCl, optimized geometry
# ΔE_f (raw): 513 meV per atom
# crystal system: cubic
# density: 6.93 g/cm³
# energy relative to the lowest polymorph listed for this composition: 0.000 eV per atom
# E_tot: -0.3050 Ry per atom
data_Ni3SbCl
_chemical_formula_sum 'Ni3 Sb1 Cl1'
_space_group_name_H-M_alt 'P m -3 m'
_space_group_IT_number 221
_space_group_name_Hall '-P 4 2 3'
_cell_length_a 4.306
_cell_length_b 4.306
_cell_length_c 4.306
_cell_angle_alpha 90.00
_cell_angle_beta 90.00
_cell_angle_gamma 90.00
loop_
_atom_site_label
_atom_site_type_symbol
_atom_site_fract_x
_atom_site_fract_y
_atom_site_fract_z
_atom_site_occupancy
Ni1 Ni 0.000 0.000 0.500 1
Sb1 Sb 0.500 0.500 0.500 1
Cl1 Cl 0.000 0.000 0.000 1